SbWSe2N (PBE, relaxed); calculated total energy = -31.39 eV/f.u.; raw formation energy = 0.20 eV per atom; energy above the lowest structure with this stoichiometry = 0.0 kJ per mole of atoms
1.0
5.145 0.000 0.000
0.000 5.145 0.000
0.000 0.000 3.816
Sb W Se N
1 1 2 1
Direct
0.000 0.000 0.000 Sb
0.500 0.500 0.500 W
0.000 0.500 0.500 Se
0.500 0.000 0.500 Se
0.500 0.500 0.000 N